The following is a DFT calculation (PBE) of TiTeRhI2 after structural relaxation.

a = 5.420 Å, b = 5.420 Å, c = 5.428 Å
α = 90.00°, β = 90.00°, γ = 90.00°
Atoms (fractional coordinates):
Ti (0.000, 0.000, 0.000)
Te (0.000, 0.000, 0.500)
Rh (0.500, 0.500, 0.500)
I (0.000, 0.500, 0.000)
I (0.500, 0.000, 0.000)

Computed properties:
Formation energy (no corrections) in eV/f.u.: 2.82
SG: No. 123
Relative energy among the computed polymorphs in eV per atom: 0.007



The following is a DFT calculation (PBE) of Sm3Zn2Ni9Ge after structural relaxation.

a = 5.965 Å, b = 5.965 Å, c = 8.606 Å
α = 90.00°, β = 90.00°, γ = 120.00°
Atoms (fractional coordinates):
Sm (0.000, 0.000, 0.000)
Sm (0.333, 0.667, 0.699)
Sm (0.667, 0.333, 0.301)
Zn (0.333, 0.667, 0.184)
Zn (0.667, 0.333, 0.816)
Ni (0.000, 0.500, 0.000)
Ni (0.134, 0.269, 0.286)
Ni (0.134, 0.866, 0.286)
Ni (0.269, 0.134, 0.714)
Ni (0.500, 0.000, 0.000)
Ni (0.500, 0.500, 0.000)
Ni (0.731, 0.866, 0.286)
Ni (0.866, 0.134, 0.714)
Ni (0.866, 0.731, 0.714)
Ge (0.000, 0.000, 0.500)

Computed properties:
SG: No. 164
Formation energy from the elements in eV per atom: -0.04



The following is a DFT calculation (PBE) of PuPa2Tl after structural relaxation.

a = 4.711 Å, b = 4.711 Å, c = 4.554 Å
α = 90.00°, β = 90.00°, γ = 90.00°
Atoms (fractional coordinates):
Pu (0.000, 0.000, 0.000)
Pa (0.000, 0.500, 0.500)
Pa (0.500, 0.000, 0.500)
Tl (0.500, 0.500, 0.000)

Computed properties:
SG: No. 123
Formation energy from the elements in eV per atom: 0.13
Relative energy among the computed polymorphs in eV per atom: 0.000



The following is a DFT calculation (PBE) of Na3BeNb after structural relaxation.

a = 5.939 Å, b = 5.939 Å, c = 5.939 Å
α = 90.00°, β = 90.00°, γ = 90.00°
Atoms (fractional coordinates):
Na (0.000, 0.000, 0.500)
Na (0.000, 0.500, 0.000)
Na (0.500, 0.000, 0.000)
Be (0.500, 0.500, 0.500)
Nb (0.000, 0.000, 0.000)

Computed properties:
SG: No. 221
Formation energy from the elements in eV per atom: 1.75
Relative energy among the computed polymorphs in eV per atom: 0.165



The following is a DFT calculation (PBE) of Li2ReP after structural relaxation.

a = 8.976 Å, b = 8.976 Å, c = 8.976 Å
α = 17.37°, β = 17.37°, γ = 17.37°
Atoms (fractional coordinates):
Li (0.243, 0.243, 0.243)
Li (0.757, 0.757, 0.757)
Re (0.000, 0.000, 0.000)
P (0.500, 0.500, 0.500)

Computed properties:
SG: No. 166
Formation energy from the elements in eV per atom: 0.15



The following is a DFT calculation (PBE) of Pr2Ga4IrRh3 after structural relaxation.

a = 4.341 Å, b = 4.341 Å, c = 10.063 Å
α = 90.00°, β = 90.00°, γ = 90.00°
Atoms (fractional coordinates):
Pr (0.000, 0.500, 0.238)
Pr (0.500, 0.000, 0.762)
Ga (0.000, 0.000, 0.500)
Ga (0.000, 0.500, 0.874)
Ga (0.500, 0.000, 0.126)
Ga (0.500, 0.500, 0.500)
Ir (0.500, 0.500, 0.000)
Rh (0.000, 0.000, 0.000)
Rh (0.000, 0.500, 0.626)
Rh (0.500, 0.000, 0.374)

Computed properties:
SG: No. 115
Formation energy from the elements in eV per atom: -0.77



The following is a DFT calculation (PBE) of AcSm2 after structural relaxation.

a = 6.858 Å, b = 6.858 Å, c = 6.858 Å
α = 60.00°, β = 60.00°, γ = 60.00°
Atoms (fractional coordinates):
Ac (0.125, 0.125, 0.125)
Ac (0.875, 0.875, 0.875)
Sm (0.000, 0.500, 0.500)
Sm (0.500, 0.000, 0.500)
Sm (0.500, 0.500, 0.000)
Sm (0.500, 0.500, 0.500)

Computed properties:
SG: No. 227
Formation energy from the elements in eV per atom: 0.22
Relative energy among the computed polymorphs in eV per atom: 0.183



The following is a DFT calculation (PBE) of ReMoOs after structural relaxation.

a = 4.823 Å, b = 4.823 Å, c = 4.823 Å
α = 146.81°, β = 131.94°, γ = 59.65°
Atoms (fractional coordinates):
Re (0.000, 0.000, 0.000)
Mo (0.672, 0.672, 0.000)
Os (0.341, 0.341, 0.000)

Computed properties:
SG: No. 44
Formation energy from the elements in eV per atom: 0.11
Relative energy among the computed polymorphs in eV per atom: 0.067



The following is a DFT calculation (PBE) of In3TeO after structural relaxation.

a = 6.097 Å, b = 6.097 Å, c = 6.097 Å
α = 90.00°, β = 90.00°, γ = 90.00°
Atoms (fractional coordinates):
In (0.000, 0.000, 0.500)
In (0.000, 0.500, 0.000)
In (0.500, 0.000, 0.000)
Te (0.000, 0.000, 0.000)
O (0.500, 0.500, 0.500)

Computed properties:
Formation energy (no corrections) in eV/f.u.: 3.92
SG: No. 221
Relative energy among the computed polymorphs in eV per atom: 1.101



The following is a DFT calculation (PBE) of Te2W after structural relaxation.

a = 8.074 Å, b = 8.074 Å, c = 6.324 Å
α = 102.50°, β = 102.50°, γ = 25.04°
Atoms (fractional coordinates):
Te (0.114, 0.114, 0.345)
Te (0.346, 0.346, 0.125)
Te (0.654, 0.654, 0.875)
Te (0.886, 0.886, 0.655)
W (0.257, 0.257, 0.682)
W (0.743, 0.743, 0.318)

Computed properties:
Formation energy (no corrections) in eV/f.u.: -0.32
SG: No. 12



The following is a DFT calculation (PBE) of Li2MnW after structural relaxation.

a = 4.484 Å, b = 4.484 Å, c = 5.322 Å
α = 91.97°, β = 91.97°, γ = 31.99°
Atoms (fractional coordinates):
Li (0.000, 0.000, 0.000)
Li (0.249, 0.249, 0.778)
Mn (0.504, 0.504, 0.485)
W (0.749, 0.749, 0.302)

Computed properties:
SG: No. 8
Formation energy from the elements in eV per atom: 0.49
Relative energy among the computed polymorphs in eV per atom: 0.183



The following is a DFT calculation (PBE) of FeCuPt2 after structural relaxation.

a = 4.792 Å, b = 4.792 Å, c = 4.792 Å
α = 133.76°, β = 133.76°, γ = 67.47°
Atoms (fractional coordinates):
Fe (0.000, 0.000, 0.000)
Cu (0.750, 0.250, 0.500)
Pt (0.250, 0.750, 0.500)
Pt (0.500, 0.500, 0.000)

Computed properties:
SG: No. 119
Formation energy from the elements in eV per atom: -0.16